# Zr2CuS GGA-PBE optimized geometry
# DOS at the Fermi energy   3.7 states/eV/cell
# Density   6.20 Mg/m³
# Crystal system   trigonal
data_Zr2CuS
_chemical_formula_sum 'Zr2 Cu1 S1'
_space_group_name_H-M_alt 'P 1'
_space_group_IT_number 1
_space_group_name_Hall 'P 1'
_cell_length_a 3.442
_cell_length_b 3.442
_cell_length_c 7.522
_cell_angle_alpha 76.78
_cell_angle_beta 76.78
_cell_angle_gamma 60.00
loop_
_atom_site_label
_atom_site_type_symbol
_atom_site_fract_x
_atom_site_fract_y
_atom_site_fract_z
_atom_site_occupancy
Zr1 Zr 0.086 0.086 0.741 1
Zr2 Zr 0.246 0.246 0.261 1
Cu1 Cu 0.668 0.668 0.997 1
S1 S 0.500 0.500 0.501 1

# Mn3FeN4 GGA-PBE optimized geometry
# DOS at the Fermi energy   6.6 states/eV/cell
# Density   5.85 Mg/m³
# Crystal system   tetragonal
data_Mn3FeN4
_chemical_formula_sum 'Mn3 Fe1 N4'
_space_group_name_H-M_alt 'P 1'
_space_group_IT_number 1
_space_group_name_Hall 'P 1'
_cell_length_a 4.282
_cell_length_b 4.282
_cell_length_c 5.246
_cell_angle_alpha 114.09
_cell_angle_beta 114.09
_cell_angle_gamma 90.00
loop_
_atom_site_label
_atom_site_type_symbol
_atom_site_fract_x
_atom_site_fract_y
_atom_site_fract_z
_atom_site_occupancy
Mn1 Mn 0.500 0.500 0.000 1
Mn2 Mn 0.750 0.250 0.500 1
Mn3 Mn 0.250 0.750 0.500 1
Fe1 Fe 0.000 0.000 0.000 1
N1 N 0.373 0.373 0.247 1
N2 N 0.874 0.874 0.247 1
N3 N 0.126 0.627 0.753 1
N4 N 0.627 0.126 0.753 1

# TaGaReSe2 GGA-PBE optimized geometry
# DOS at the Fermi energy   4.5 states/eV/cell
# Density   8.42 Mg/m³
# Crystal system   tetragonal
data_TaGaReSe2
_chemical_formula_sum 'Ta1 Ga1 Re1 Se2'
_space_group_name_H-M_alt 'P 1'
_space_group_IT_number 1
_space_group_name_Hall 'P 1'
_cell_length_a 4.748
_cell_length_b 5.206
_cell_length_c 4.748
_cell_angle_alpha 90.00
_cell_angle_beta 90.00
_cell_angle_gamma 90.00
loop_
_atom_site_label
_atom_site_type_symbol
_atom_site_fract_x
_atom_site_fract_y
_atom_site_fract_z
_atom_site_occupancy
Re1 Re 0.000 0.000 0.000 1
Ga1 Ga 0.500 0.500 0.500 1
Se1 Se 0.000 0.000 0.500 1
Se2 Se 0.500 0.000 0.000 1
Ta1 Ta 0.000 0.500 0.000 1

One value per record, in order, for ΔE_f (raw): -719; -255; 898 meV/atom.
One value per record, in order, for electronic total energy: -7.0492; -8.9138; -5.9611 eV/atom.
One value per record, in order, for spin magnetization: 0.00; 3.28; 0.00 Bohr magnetons per cell.